First-principles (GGA-PBE) data for crystalline DyY2Ga at its relaxed geometry, as listed in Alexandria via LeMat-Bulk.

```
DyY2Ga
1.0
3.5295 0.0000 0.0000
0.0000 3.5295 0.0000
0.0000 0.0000 8.9233
Y Ga Dy
2 1 1
direct
0.0000 0.0000 0.7914
0.0000 0.0000 0.2086
0.5000 0.5000 0.0000
0.5000 0.5000 0.5000
```

## Properties
**DOS at the Fermi energy**: 4.405 states/eV/cell
**Total magnetization**: 0.000 μB per formula unit
**Offset from the most stable computed form**: 1.13 kJ per mole of atoms
**Theoretical density**: 6.13 Mg/m³
**Total DFT energy (no corrections)**: -5.426 eV per atom
**Formation enthalpy at 0 K**: -0.29 eV per atom

First-principles (GGA-PBE) data for crystalline DyY2Ga at its relaxed geometry, as listed in Alexandria via LeMat-Bulk.

```
DyY2Ga
1.0
-1.3210 -3.2444 -0.0088
1.8341 -2.6417 1.3888
-4.7990 0.0336 10.8196
Y Ga Dy
2 1 1
direct
0.0854 0.0854 0.7437
0.9146 0.9146 0.2563
0.0000 0.0000 0.0000
0.5000 0.5000 0.5000
```

## Properties
**DOS at the Fermi energy**: 4.389 states/eV/cell
**Total magnetization**: 0.000 μB per formula unit
**Offset from the most stable computed form**: 42.72 kJ per mole of atoms
**Theoretical density**: 5.49 Mg/m³
**Total DFT energy (no corrections)**: -4.995 eV per atom
**Formation enthalpy at 0 K**: 0.14 eV per atom

First-principles (GGA-PBE) data for crystalline Dy3YGa3 at its relaxed geometry, as listed in Alexandria via LeMat-Bulk.

```
Dy3YGa3
1.0
4.7887 0.0000 0.0000
0.0000 9.1345 0.0000
0.0000 -4.5673 7.9107
Dy Y Ga
6 2 6
direct
0.7500 0.7606 0.7452
0.7500 0.2548 0.0154
0.7500 0.9846 0.2394
0.2500 0.2394 0.2548
0.2500 0.7452 0.9846
0.2500 0.0154 0.7606
0.2500 0.6667 0.3333
0.7500 0.3333 0.6667
0.2500 0.5502 0.6082
0.2500 0.3918 0.9420
0.2500 0.0580 0.4498
0.7500 0.4498 0.3918
0.7500 0.6082 0.0580
0.7500 0.9420 0.5502
```

## Properties
**DOS at the Fermi energy**: 9.502 states/eV/cell
**Total magnetization**: 0.000 μB per formula unit
**Theoretical density**: 7.54 Mg/m³
**Total DFT energy (no corrections)**: -4.626 eV per atom
**Formation enthalpy at 0 K**: -0.43 eV per atom

Which value of total magnetization does entry 2 give? 0.000 μB per formula unit